A plane-wave DFT calculation with PBE was carried out for NpUZn4 after structural relaxation.

Lattice parameters (Å, degrees): 5.3607 5.3607 5.3607 60.00 60.00 60.00
With the nearest neighbours (Å) after each atom.
Atoms (fractional coordinates):
Zn 0.6247 0.6247 0.6247  6 Zn 2.67-2.69
Np 0.2500 0.2500 0.2500  12 Zn 3.14, 4 U 3.28
Zn 0.1258 0.6247 0.6247  6 Zn 2.67-2.69
Zn 0.6247 0.1258 0.6247  6 Zn 2.67-2.69
Zn 0.6247 0.6247 0.1258  6 Zn 2.67-2.69
U 0.0000 0.0000 0.0000  12 Zn 3.14, 4 Np 3.28

Energy above the most stable polymorph in this dataset (meV/atom): 93
M_tot (μB per cell): 6.55
DFT formation energy (meV/atom): 66

=====

A plane-wave DFT calculation with PBE was carried out for NpUZn4 after structural relaxation.

Lattice parameters (Å, degrees): 4.7442 5.6439 8.7012 71.08 90.00 90.00
With the nearest neighbours (Å) after each atom.
Atoms (fractional coordinates):
Zn 0.2500 0.2916 0.4167  5 Zn 2.74-2.82
Zn 0.2500 0.7917 0.4167  5 Zn 2.74-2.82
Zn 0.2500 0.4583 0.0831  5 Zn 2.74-2.82
Np 0.2500 0.3750 0.7500  2 U 2.82, 12 Zn 3.08
Zn 0.7500 0.7084 0.5833  5 Zn 2.74-2.82
Zn 0.7500 0.2083 0.5833  5 Zn 2.74-2.82
Np 0.7500 0.6250 0.2500  2 U 2.82, 12 Zn 3.08
U 0.7500 0.1248 0.2503  2 Np 2.82, 12 Zn 3.08-3.09
U 0.2500 0.8752 0.7497  2 Np 2.82, 12 Zn 3.08-3.09
Zn 0.7500 0.0414 0.9169  5 Zn 2.74-2.82
Zn 0.2500 0.9586 0.0831  5 Zn 2.74-2.82
Zn 0.7500 0.5417 0.9169  5 Zn 2.74-2.82

Energy above the most stable polymorph in this dataset (meV/atom): 0
M_tot (μB per cell): 14.44
DFT formation energy (meV/atom): -27